KInCl2 after structural relaxation, computed with PBE-GGA.

CIF file:
```
data_KInCl2
_chemical_formula_sum 'K2 In2 Cl4'
_cell_length_a 6.406
_cell_length_b 6.421
_cell_length_c 6.410
_cell_angle_alpha 90.00
_cell_angle_beta 90.00
_cell_angle_gamma 90.00
_space_group_name_H-M_alt 'P m n 21'
_space_group_IT_number 31
_space_group_name_Hall 'P 2ac -2'
loop_
_atom_site_label
_atom_site_fract_x
_atom_site_fract_y
_atom_site_fract_z
K1 0.000 0.000 0.000
In1 0.000 0.498 0.498
Cl1 0.000 0.500 0.999
Cl2 0.000 0.970 0.500
```

KInCl2 after structural relaxation, computed with PBE-GGA.

CIF file:
```
data_KInCl2
_chemical_formula_sum 'K2 In2 Cl4'
_cell_length_a 12.542
_cell_length_b 4.280
_cell_length_c 4.721
_cell_angle_alpha 90.00
_cell_angle_beta 90.04
_cell_angle_gamma 90.00
_space_group_name_H-M_alt 'C 1 m 1'
_space_group_IT_number 8
_space_group_name_Hall 'C -2y'
loop_
_atom_site_label
_atom_site_fract_x
_atom_site_fract_y
_atom_site_fract_z
K1 0.000 0.000 0.000
In1 0.243 0.000 0.500
Cl1 0.246 0.500 0.999
Cl2 0.466 0.000 0.500
```

K3InCl after structural relaxation, computed with PBE-GGA.

CIF file:
```
data_K3InCl
_chemical_formula_sum 'K3 In1 Cl1'
_cell_length_a 6.063
_cell_length_b 6.063
_cell_length_c 6.063
_cell_angle_alpha 90.00
_cell_angle_beta 90.00
_cell_angle_gamma 90.00
_space_group_name_H-M_alt 'P m -3 m'
_space_group_IT_number 221
_space_group_name_Hall '-P 4 2 3'
loop_
_atom_site_label
_atom_site_fract_x
_atom_site_fract_y
_atom_site_fract_z
K1 0.000 0.000 0.500
In1 0.500 0.500 0.500
Cl1 0.000 0.000 0.000
```

K2InCl4 after structural relaxation, computed with PBE-GGA.

CIF file:
```
data_K2InCl4
_chemical_formula_sum 'K4 In2 Cl8'
_cell_length_a 12.754
_cell_length_b 4.395
_cell_length_c 8.410
_cell_angle_alpha 90.00
_cell_angle_beta 116.81
_cell_angle_gamma 90.00
_space_group_name_H-M_alt 'C 1 2/m 1'
_space_group_IT_number 12
_space_group_name_Hall '-C 2y'
loop_
_atom_site_label
_atom_site_fract_x
_atom_site_fract_y
_atom_site_fract_z
K1 0.165 0.000 0.173
In1 0.000 0.500 0.500
Cl1 0.073 0.500 0.862
Cl2 0.149 0.000 0.548
```

KInCl2 after structural relaxation, computed with PBE-GGA.

CIF file:
```
data_KInCl2
_chemical_formula_sum 'K3 In3 Cl6'
_cell_length_a 4.8843
_cell_length_b 4.8843
_cell_length_c 26.9507
_cell_angle_alpha 90.00
_cell_angle_beta 90.00
_cell_angle_gamma 120.00
_space_group_name_H-M_alt 'R -3 m'
_space_group_IT_number 166
_space_group_name_Hall '-R 3 2"'
loop_
_atom_site_label
_atom_site_fract_x
_atom_site_fract_y
_atom_site_fract_z
K1 0.0000 0.0000 0.0000
In1 0.0000 0.0000 0.5000
Cl1 0.0000 0.0000 0.1050
```

KInCl2 after structural relaxation, computed with PBE-GGA.

CIF file:
```
data_KInCl2
_chemical_formula_sum 'K1 In1 Cl2'
_cell_length_a 5.442
_cell_length_b 5.442
_cell_length_c 3.820
_cell_angle_alpha 90.00
_cell_angle_beta 90.00
_cell_angle_gamma 90.00
_space_group_name_H-M_alt 'P 4/m m m'
_space_group_IT_number 123
_space_group_name_Hall '-P 4 2'
loop_
_atom_site_label
_atom_site_fract_x
_atom_site_fract_y
_atom_site_fract_z
K1 0.000 0.000 0.000
In1 0.500 0.500 0.000
Cl1 0.000 0.500 0.500
```

KIn2Cl7 after structural relaxation, computed with PBE-GGA.

CIF file:
```
data_KIn2Cl7
_chemical_formula_sum 'K2 In4 Cl14'
_cell_length_a 8.153
_cell_length_b 13.714
_cell_length_c 5.081
_cell_angle_alpha 90.00
_cell_angle_beta 90.00
_cell_angle_gamma 90.00
_space_group_name_H-M_alt 'C m m m'
_space_group_IT_number 65
_space_group_name_Hall '-C 2 2'
loop_
_atom_site_label
_atom_site_fract_x
_atom_site_fract_y
_atom_site_fract_z
K1 0.000 0.000 0.000
In1 0.000 0.306 0.500
Cl1 0.000 0.283 0.000
Cl2 0.000 0.500 0.500
Cl3 0.190 0.140 0.500
```

KInCl2 after structural relaxation, computed with PBE-GGA.

CIF file:
```
data_KInCl2
_chemical_formula_sum 'K3 In3 Cl6'
_cell_length_a 4.4227
_cell_length_b 4.4227
_cell_length_c 23.3547
_cell_angle_alpha 90.00
_cell_angle_beta 90.00
_cell_angle_gamma 120.00
_space_group_name_H-M_alt 'R 3 m'
_space_group_IT_number 160
_space_group_name_Hall 'R 3 -2"'
loop_
_atom_site_label
_atom_site_fract_x
_atom_site_fract_y
_atom_site_fract_z
K1 0.0000 0.0000 0.0000
In1 0.0000 0.0000 0.8318
Cl1 0.0000 0.0000 0.4133
Cl2 0.0000 0.0000 0.5856
```

KIn2Cl after structural relaxation, computed with PBE-GGA.

CIF file:
```
data_KIn2Cl
_chemical_formula_sum 'K2 In4 Cl2'
_cell_length_a 8.962
_cell_length_b 5.160
_cell_length_c 6.875
_cell_angle_alpha 90.00
_cell_angle_beta 115.12
_cell_angle_gamma 90.00
_space_group_name_H-M_alt 'C 1 m 1'
_space_group_IT_number 8
_space_group_name_Hall 'C -2y'
loop_
_atom_site_label
_atom_site_fract_x
_atom_site_fract_y
_atom_site_fract_z
K1 0.000 0.000 0.000
In1 0.292 0.500 0.390
In2 0.470 0.000 0.421
Cl1 0.133 0.500 0.894
```

K4InCl6 after structural relaxation, computed with PBE-GGA.

CIF file:
```
data_K4InCl6
_chemical_formula_sum 'K8 In2 Cl12'
_cell_length_a 8.736
_cell_length_b 8.736
_cell_length_c 8.914
_cell_angle_alpha 90.00
_cell_angle_beta 90.00
_cell_angle_gamma 90.00
_space_group_name_H-M_alt 'P 4/m n c'
_space_group_IT_number 128
_space_group_name_Hall '-P 4 2n'
loop_
_atom_site_label
_atom_site_fract_x
_atom_site_fract_y
_atom_site_fract_z
K1 0.172 0.328 0.250
In1 0.000 0.000 0.000
Cl1 0.000 0.000 0.302
Cl2 0.099 0.689 0.000
```

K3In5Cl12 after structural relaxation, computed with PBE-GGA.

CIF file:
```
data_K3In5Cl12
_chemical_formula_sum 'K24 In40 Cl96'
_cell_length_a 17.826
_cell_length_b 17.826
_cell_length_c 17.826
_cell_angle_alpha 90.00
_cell_angle_beta 90.00
_cell_angle_gamma 90.00
_space_group_name_H-M_alt 'I a -3 d'
_space_group_IT_number 230
_space_group_name_Hall '-I 4bd 2c 3'
loop_
_atom_site_label
_atom_site_fract_x
_atom_site_fract_y
_atom_site_fract_z
K1 0.000 0.250 0.125
In1 0.000 0.000 0.000
In2 0.000 0.250 0.375
Cl1 0.032 0.062 0.660
```

KIn2Cl after structural relaxation, computed with PBE-GGA.

CIF file:
```
data_KIn2Cl
_chemical_formula_sum 'K1 In2 Cl1'
_cell_length_a 3.543
_cell_length_b 3.543
_cell_length_c 10.078
_cell_angle_alpha 90.00
_cell_angle_beta 90.00
_cell_angle_gamma 90.00
_space_group_name_H-M_alt 'P 4/m m m'
_space_group_IT_number 123
_space_group_name_Hall '-P 4 2'
loop_
_atom_site_label
_atom_site_fract_x
_atom_site_fract_y
_atom_site_fract_z
K1 0.000 0.000 0.000
In1 0.500 0.500 0.289
Cl1 0.000 0.000 0.500
```

no.,formation energy from raw total energies (eV per atom)
1,-1.3839
2,-1.3598
3,-0.6592
4,-1.4642
5,-1.0965
6,-1.3211
7,-1.1148
8,-1.3522
9,-0.6478
10,-1.6275
11,-1.1946
12,-0.1849